1.
# Y4Ta2Zn3C3 | OQMD via LeMat-Bulk | PBE-GGA | optimized geometry
data_Y4Ta2Zn3C3
_cell_length_a 10.3268
_cell_length_b 5.9831
_cell_length_c 14.6659
_cell_angle_alpha 90.00
_cell_angle_beta 104.45
_cell_angle_gamma 90.00
_symmetry_space_group_name_H-M 'C 1 2/c 1'
_symmetry_Int_Tables_number 15
loop_
_symmetry_equiv_pos_as_xyz
'x,y,z'
'-x,-y,-z'
'-x,y,-z+1/2'
'x,-y,z+1/2'
'x+1/2,y+1/2,z'
'-x+1/2,-y+1/2,-z'
'-x+1/2,y+1/2,-z+1/2'
'x+1/2,-y+1/2,z+1/2'
loop_
_atom_site_label
_atom_site_fract_x
_atom_site_fract_y
_atom_site_fract_z
_atom_site_occupancy
Y1 0.1206 0.0689 0.1046 1
Y2 0.2061 0.0909 0.3952 1
Ta1 0.0663 0.4086 0.9295 1
Zn1 0.0000 0.1710 0.7500 1
Zn2 0.1209 0.4604 0.2475 1
C1 0.0733 0.2800 0.5000 1
C2 0.2500 0.2500 0.0000 1
# - V: 878 Å³ per cell

=====

2.
# Ta2ZnC | OQMD via LeMat-Bulk | PBE-GGA | optimized geometry
data_Ta2ZnC
_cell_length_a 3.1211
_cell_length_b 3.1211
_cell_length_c 13.7212
_cell_angle_alpha 90.00
_cell_angle_beta 90.00
_cell_angle_gamma 120.00
_symmetry_space_group_name_H-M 'P 63/m m c'
_symmetry_Int_Tables_number 194
_symmetry_space_group_name_Hall '-P 6c 2c'
loop_
_atom_site_label
_atom_site_fract_x
_atom_site_fract_y
_atom_site_fract_z
_atom_site_occupancy
Ta1 0.3333 0.6667 0.0890 1
Zn1 0.3333 0.6667 0.7500 1
C1 0.0000 0.0000 0.0000 1
# - V: 116 Å³ per cell

=====

3.
# Ta3ZnC | OQMD via LeMat-Bulk | PBE-GGA | optimized geometry
data_Ta3ZnC
_cell_length_a 4.2738
_cell_length_b 4.2738
_cell_length_c 4.2738
_cell_angle_alpha 90.00
_cell_angle_beta 90.00
_cell_angle_gamma 90.00
_symmetry_space_group_name_H-M 'P m -3 m'
_symmetry_Int_Tables_number 221
_symmetry_space_group_name_Hall '-P 4 2 3'
loop_
_atom_site_label
_atom_site_fract_x
_atom_site_fract_y
_atom_site_fract_z
_atom_site_occupancy
Ta1 0.0000 0.0000 0.5000 1
Zn1 0.5000 0.5000 0.5000 1
C1 0.0000 0.0000 0.0000 1
# - V: 78 Å³ per cell

=====

4.
# Ta3ZnC2 | OQMD via LeMat-Bulk | PBE-GGA | optimized geometry
data_Ta3ZnC2
_cell_length_a 3.1522
_cell_length_b 3.1522
_cell_length_c 18.7236
_cell_angle_alpha 90.00
_cell_angle_beta 90.00
_cell_angle_gamma 120.00
_symmetry_space_group_name_H-M 'P 63/m m c'
_symmetry_Int_Tables_number 194
_symmetry_space_group_name_Hall '-P 6c 2c'
loop_
_atom_site_label
_atom_site_fract_x
_atom_site_fract_y
_atom_site_fract_z
_atom_site_occupancy
Ta1 0.0000 0.0000 0.0000 1
Ta2 0.3333 0.6667 0.1330 1
Zn1 0.0000 0.0000 0.2500 1
C1 0.3333 0.6667 0.5711 1
# - V: 161 Å³ per cell

=====

5.
# Ta2ZnC | OQMD via LeMat-Bulk | PBE-GGA | optimized geometry
data_Ta2ZnC
_cell_length_a 9.3645
_cell_length_b 5.4087
_cell_length_c 14.0812
_cell_angle_alpha 90.00
_cell_angle_beta 102.84
_cell_angle_gamma 90.00
_symmetry_space_group_name_H-M 'C 1 2/c 1'
_symmetry_Int_Tables_number 15
loop_
_symmetry_equiv_pos_as_xyz
'x,y,z'
'-x,-y,-z'
'-x,y,-z+1/2'
'x,-y,z+1/2'
'x+1/2,y+1/2,z'
'-x+1/2,-y+1/2,-z'
'-x+1/2,y+1/2,-z+1/2'
'x+1/2,-y+1/2,z+1/2'
loop_
_atom_site_label
_atom_site_fract_x
_atom_site_fract_y
_atom_site_fract_z
_atom_site_occupancy
Ta1 0.0537 0.0833 0.4113 1
Ta2 0.1131 0.4165 0.5888 1
Ta3 0.2202 0.4166 0.9112 1
Zn1 0.0000 0.4141 0.2500 1
Zn2 0.1657 0.0830 0.7501 1
C1 0.0833 0.2501 0.0000 1
C2 0.2500 0.2500 0.5000 1
# - V: 695 Å³ per cell

=====

6.
# Zr2Ta4Zn3C3 | OQMD via LeMat-Bulk | PBE-GGA | optimized geometry
data_Zr2Ta4Zn3C3
_cell_length_a 9.5184
_cell_length_b 5.4870
_cell_length_c 14.2412
_cell_angle_alpha 90.00
_cell_angle_beta 103.07
_cell_angle_gamma 90.00
_symmetry_space_group_name_H-M 'C 1 2/c 1'
_symmetry_Int_Tables_number 15
loop_
_symmetry_equiv_pos_as_xyz
'x,y,z'
'-x,-y,-z'
'-x,y,-z+1/2'
'x,-y,z+1/2'
'x+1/2,y+1/2,z'
'-x+1/2,-y+1/2,-z'
'-x+1/2,y+1/2,-z+1/2'
'x+1/2,-y+1/2,z+1/2'
loop_
_atom_site_label
_atom_site_fract_x
_atom_site_fract_y
_atom_site_fract_z
_atom_site_occupancy
Zr1 0.0448 0.0805 0.3939 1
Ta1 0.1112 0.4092 0.5830 1
Ta2 0.2257 0.4203 0.9169 1
Zn1 0.0000 0.4493 0.7500 1
Zn2 0.2340 0.1497 0.7516 1
C1 0.0839 0.2518 0.0000 1
C2 0.2500 0.2500 0.5000 1
# - V: 725 Å³ per cell

=====

7.
# ZrTaC2 | OQMD via LeMat-Bulk | PBE-GGA | optimized geometry
data_ZrTaC2
_cell_length_a 3.2475
_cell_length_b 3.2475
_cell_length_c 4.5778
_cell_angle_alpha 90.00
_cell_angle_beta 90.00
_cell_angle_gamma 90.00
_symmetry_space_group_name_H-M 'P 4/m m m'
_symmetry_Int_Tables_number 123
_symmetry_space_group_name_Hall '-P 4 2'
loop_
_atom_site_label
_atom_site_fract_x
_atom_site_fract_y
_atom_site_fract_z
_atom_site_occupancy
Zr1 0.0000 0.0000 0.0000 1
Ta1 0.5000 0.5000 0.5000 1
C1 0.0000 0.0000 0.5000 1
C2 0.5000 0.5000 0.0000 1
# - V: 48 Å³ per cell

=====

8.
# TbC2 | OQMD via LeMat-Bulk | PBE-GGA | optimized geometry
data_TbC2
_cell_length_a 3.6887
_cell_length_b 3.6887
_cell_length_c 6.2285
_cell_angle_alpha 90.00
_cell_angle_beta 90.00
_cell_angle_gamma 90.00
_symmetry_space_group_name_H-M 'I 4/m m m'
_symmetry_Int_Tables_number 139
_symmetry_space_group_name_Hall '-I 4 2'
loop_
_atom_site_label
_atom_site_fract_x
_atom_site_fract_y
_atom_site_fract_z
_atom_site_occupancy
Tb1 0.0000 0.0000 0.0000 1
C1 0.0000 0.0000 0.3954 1
# - V: 85 Å³ per cell
# - Excess energy over the best structure of this formula in the dataset: 0.000 eV per atom

=====

9.
# Tb14C | OQMD via LeMat-Bulk | PBE-GGA | optimized geometry
data_Tb14C
_cell_length_a 9.7039
_cell_length_b 9.7039
_cell_length_c 17.9098
_cell_angle_alpha 90.00
_cell_angle_beta 90.00
_cell_angle_gamma 120.00
_symmetry_space_group_name_H-M 'R -3 m'
_symmetry_Int_Tables_number 166
_symmetry_space_group_name_Hall '-R 3 2"'
loop_
_atom_site_label
_atom_site_fract_x
_atom_site_fract_y
_atom_site_fract_z
_atom_site_occupancy
Tb1 0.0000 0.0000 0.1287 1
Tb2 0.0000 0.3203 0.5000 1
Tb3 0.0640 0.5320 0.3412 1
C1 0.0000 0.0000 0.0000 1
# - V: 1461 Å³ per cell

=====

10.
# Tb2C3 | OQMD via LeMat-Bulk | PBE-GGA | optimized geometry
data_Tb2C3
_cell_length_a 8.2683
_cell_length_b 8.2683
_cell_length_c 8.2683
_cell_angle_alpha 90.00
_cell_angle_beta 90.00
_cell_angle_gamma 90.00
_symmetry_space_group_name_H-M 'I -4 3 d'
_symmetry_Int_Tables_number 220
_symmetry_space_group_name_Hall 'I -4bd 2c 3'
loop_
_atom_site_label
_atom_site_fract_x
_atom_site_fract_y
_atom_site_fract_z
_atom_site_occupancy
Tb1 0.0507 0.0507 0.0507 1
C1 0.0000 0.2500 0.2941 1
# - V: 565 Å³ per cell

=====

Results for M_tot: 0.0 0.0 0.0 0.0 0.0 0.0 0.0 0.0 0.8 0.0 (in μB per formula unit, following the order of the records).
Results for final energy: -342.946 -71.544 -46.263 -116.002 -429.270 -408.336 -41.621 -47.285 -197.058 -305.766 (in eV per cell, following the order of the records).